ZnIr2Rh, optimized geometry, DFT PBE; energy = -6.656 eV/atom; DOS(E_F) = 3.86 states/eV/cell; V = 14.3 A^3/atom; energy of formation = -6.7 kJ/mol of atoms; symmetry = R3m, No. 160
1.0
1.379 0.796 8.703
-1.379 0.796 8.703
0.000 -1.593 8.703
Zn Ir Rh
1 2 1
Direct
0.000 0.000 0.000 Zn
0.249 0.249 0.249 Ir
0.499 0.499 0.499 Ir
0.749 0.749 0.749 Rh